The following is a GGA-PBE calculation of a geometry-optimized Ba3TbCd4 structure, from Alexandria via LeMat-Bulk.

Unit cell a=4.0625 b=4.0625 c=16.9045 alpha=90.00 beta=90.00 gamma=90.00
Sites, in units of the cell vectors:
Cd 0.0000 0.0000 0.0956
Ba 0.5000 0.5000 0.2339
Ba 0.5000 0.5000 0.7661
Ba 0.5000 0.5000 0.5000
Cd 0.0000 0.0000 0.3681
Cd 0.0000 0.0000 0.6319
Tb 0.5000 0.5000 0.0000
Cd 0.0000 0.0000 0.9044

Output
Symmetry = No. 123
ΔH_f (0 K) = -0.30 eV per atom

***

The following is a GGA-PBE calculation of a geometry-optimized ScCrAg2 structure, from Alexandria via LeMat-Bulk.

Unit cell a=4.3611 b=4.3611 c=3.8555 alpha=90.03 beta=90.03 gamma=90.01
Sites, in units of the cell vectors:
Cr 0.5000 0.0000 0.5000
Ag 0.0000 0.0000 0.0000
Sc 0.0000 0.5000 0.5000
Ag 0.5000 0.5000 0.0000

Output
Offset from the most stable computed form = 16 meV per atom
Symmetry = No. 123
ΔH_f (0 K) = 0.10 eV per atom

***

The following is a GGA-PBE calculation of a geometry-optimized Sr4TaSi structure, from Alexandria via LeMat-Bulk.

Unit cell a=6.6815 b=6.6815 c=6.6815 alpha=60.00 beta=60.00 gamma=60.00
Sites, in units of the cell vectors:
Si 0.0000 0.0000 0.0000
Sr 0.3750 0.3750 0.3750
Sr 0.3750 0.3750 0.8750
Ta 0.7500 0.7500 0.7500
Sr 0.3750 0.8750 0.3750
Sr 0.8750 0.3750 0.3750

Output
Symmetry = No. 216

***

The following is a GGA-PBE calculation of a geometry-optimized NaCa2CeS4 structure, from Alexandria via LeMat-Bulk.

Unit cell a=4.0874 b=6.9868 c=7.0221 alpha=108.68 beta=90.00 gamma=90.00
Sites, in units of the cell vectors:
S 0.5000 0.7384 0.7444
Na 0.0000 0.0000 0.0000
Ca 0.5000 0.0000 0.5000
S 0.0000 0.7470 0.2507
Ca 0.0000 0.5000 0.5000
S 0.5000 0.2616 0.2556
Ce 0.5000 0.5000 0.0000
S 0.0000 0.2530 0.7493

Output
Symmetry = No. 10

***

The following is a GGA-PBE calculation of a geometry-optimized LaSiSb2 structure, from Alexandria via LeMat-Bulk.

Unit cell a=4.2903 b=4.4338 c=6.5551 alpha=69.37 beta=90.00 gamma=90.00
Sites, in units of the cell vectors:
Si 0.0000 0.3457 0.5291
La 0.5000 0.6988 0.7362
Sb 0.0000 0.0804 0.9444
Sb 0.5000 0.3752 0.2903

Output
Symmetry = No. 6

***

The following is a GGA-PBE calculation of a geometry-optimized TlHg5Pb structure, from Alexandria via LeMat-Bulk.

Unit cell a=5.0369 b=5.0369 c=8.2527 alpha=90.00 beta=90.00 gamma=90.00
Sites, in units of the cell vectors:
Hg 0.5000 0.5000 0.0000
Hg 0.0000 0.5000 0.7345
Tl 0.0000 0.0000 0.0000
Hg 0.5000 0.0000 0.2655
Hg 0.0000 0.5000 0.2655
Pb 0.0000 0.0000 0.5000
Hg 0.5000 0.0000 0.7345

Output
Offset from the most stable computed form = 0 meV per atom
Symmetry = No. 123
ΔH_f (0 K) = 0.04 eV per atom

***

Energy (computed, eV per atom): -2.055 -5.311 -2.786 -5.389 -5.097 -1.048
Mass density (computed, g/cm3): 6.074 7.081 4.405 3.248 5.841 11.218
Spin magnetization (computed, Bohr magnetons per cell): 0.000 3.453 3.915 0.981 0.000 0.000